[1]
The following is a PBE calculation of a geometry-optimized PrNd2DyHo4 structure, from Alexandria.

Lattice parameters (Å, degrees): 9.5337 9.5337 6.8172 110.95 110.95 88.14
With the nearest neighbours (Å) after each atom.
Atoms (fractional coordinates):
Pr 0.0000 0.5000 0.0000  6 Ho 3.32-3.43, 2 Nd 3.41
Pr 0.5000 0.0000 0.5000  6 Ho 3.32-3.43, 2 Nd 3.41
Nd 0.0000 0.0000 0.0000  6 Ho 3.37-3.47, 2 Nd 3.41
Nd 0.0000 0.0000 0.5000  6 Ho 3.37-3.47, 2 Nd 3.41
Nd 0.0000 0.5000 0.5000  6 Ho 3.31-3.43, 2 Pr 3.41
Nd 0.5000 0.0000 0.0000  6 Ho 3.31-3.43, 2 Pr 3.41
Dy 0.5000 0.5000 0.0000  6 Ho 3.26-3.39, 2 Dy 3.41
Dy 0.5000 0.5000 0.5000  6 Ho 3.26-3.39, 2 Dy 3.41
Ho 0.2542 0.2539 0.0049  3 Nd 3.31-3.47, 1 Pr 3.32, 2 Dy 3.38-3.39, 2 Ho 3.41
Ho 0.2539 0.2542 0.5049  3 Nd 3.31-3.47, 1 Pr 3.32, 2 Dy 3.38-3.39, 2 Ho 3.41
Ho 0.2541 0.7452 0.9994  1 Dy 3.26, 3 Nd 3.37-3.43, 2 Ho 3.41, 2 Pr 3.42-3.43
Ho 0.2548 0.7459 0.5006  1 Dy 3.26, 3 Nd 3.37-3.43, 2 Ho 3.41, 2 Pr 3.42-3.43
Ho 0.7452 0.2541 0.4994  1 Dy 3.26, 3 Nd 3.37-3.43, 2 Ho 3.41, 2 Pr 3.42-3.43
Ho 0.7459 0.2548 0.0006  1 Dy 3.26, 3 Nd 3.37-3.43, 2 Ho 3.41, 2 Pr 3.42-3.43
Ho 0.7461 0.7458 0.4951  3 Nd 3.31-3.47, 1 Pr 3.32, 2 Dy 3.38-3.39, 2 Ho 3.41
Ho 0.7458 0.7461 0.9951  3 Nd 3.31-3.47, 1 Pr 3.32, 2 Dy 3.38-3.39, 2 Ho 3.41

Space group: No. 15
Calculated total energy (eV per cell): -67.87

***

[2]
The following is a PBE calculation of a geometry-optimized Pr6Nd3DyHo2 structure, from Alexandria.

Lattice parameters (Å, degrees): 6.3591 6.3591 12.0531 95.04 95.04 120.02
With the nearest neighbours (Å) after each atom.
Atoms (fractional coordinates):
Pr 0.0839 0.4174 0.7544  2 Ho 3.60-3.61, 1 Dy 3.61, 6 Pr 3.67, 3 Nd 3.69
Pr 0.2492 0.2492 0.2457  1 Dy 3.60, 2 Ho 3.61, 6 Pr 3.67, 3 Nd 3.69
Pr 0.4174 0.0839 0.7544  2 Ho 3.60-3.61, 1 Dy 3.61, 6 Pr 3.67, 3 Nd 3.69
Pr 0.5826 0.9161 0.2456  2 Ho 3.60-3.61, 1 Dy 3.61, 6 Pr 3.67, 3 Nd 3.69
Pr 0.7508 0.7508 0.7543  1 Dy 3.60, 2 Ho 3.61, 6 Pr 3.67, 3 Nd 3.69
Pr 0.9161 0.5826 0.2456  2 Ho 3.60-3.61, 1 Dy 3.61, 6 Pr 3.67, 3 Nd 3.69
Nd 0.0000 0.0000 0.5000  6 Nd 3.67, 6 Pr 3.69
Nd 0.3333 0.6667 0.5000  6 Nd 3.67, 6 Pr 3.69
Nd 0.6667 0.3333 0.5000  6 Nd 3.67, 6 Pr 3.69
Dy 0.5000 0.5000 0.0000  6 Pr 3.60-3.61, 6 Ho 3.67
Ho 0.1666 0.8334 0.0000  6 Pr 3.60-3.61, 3 Dy 3.67, 3 Ho 3.67
Ho 0.8334 0.1666 0.0000  6 Pr 3.60-3.61, 3 Dy 3.67, 3 Ho 3.67

Space group: No. 12
Calculated total energy (eV per cell): -56.57

***

[3]
The following is a PBE calculation of a geometry-optimized PrNdDy2Ho4 structure, from Alexandria.

Lattice parameters (Å, degrees): 9.5131 9.5131 6.8138 110.98 110.98 88.40
With the nearest neighbours (Å) after each atom.
Atoms (fractional coordinates):
Pr 0.0000 0.0000 0.0000  6 Ho 3.36-3.45, 2 Pr 3.41
Pr 0.0000 0.0000 0.5000  6 Ho 3.36-3.45, 2 Pr 3.41
Nd 0.0000 0.5000 0.0000  6 Ho 3.34-3.42, 2 Dy 3.41
Nd 0.5000 0.0000 0.5000  6 Ho 3.34-3.42, 2 Dy 3.41
Dy 0.0000 0.5000 0.5000  6 Ho 3.29-3.41, 2 Nd 3.41
Dy 0.5000 0.0000 0.0000  6 Ho 3.29-3.41, 2 Nd 3.41
Dy 0.5000 0.5000 0.0000  6 Ho 3.27-3.38, 2 Dy 3.41
Dy 0.5000 0.5000 0.5000  6 Ho 3.27-3.38, 2 Dy 3.41
Ho 0.2521 0.2554 0.5054  3 Dy 3.29-3.38, 1 Nd 3.34, 2 Ho 3.41, 2 Pr 3.44-3.45
Ho 0.2535 0.7463 0.5011  3 Dy 3.27-3.41, 1 Pr 3.36, 2 Ho 3.39-3.42, 2 Nd 3.41-3.42
Ho 0.2537 0.7465 0.9989  3 Dy 3.27-3.41, 1 Pr 3.36, 2 Ho 3.39-3.42, 2 Nd 3.41-3.42
Ho 0.2554 0.2521 0.0054  3 Dy 3.29-3.38, 1 Nd 3.34, 2 Ho 3.41, 2 Pr 3.44-3.45
Ho 0.7446 0.7479 0.9946  3 Dy 3.29-3.38, 1 Nd 3.34, 2 Ho 3.41, 2 Pr 3.44-3.45
Ho 0.7463 0.2535 0.0011  3 Dy 3.27-3.41, 1 Pr 3.36, 2 Ho 3.39-3.42, 2 Nd 3.41-3.42
Ho 0.7465 0.2537 0.4989  3 Dy 3.27-3.41, 1 Pr 3.36, 2 Ho 3.39-3.42, 2 Nd 3.41-3.42
Ho 0.7479 0.7446 0.4946  3 Dy 3.29-3.38, 1 Nd 3.34, 2 Ho 3.41, 2 Pr 3.44-3.45

Space group: No. 15
Calculated total energy (eV per cell): -67.33

***

[4]
The following is a PBE calculation of a geometry-optimized Pr2Nd3DyHo6 structure, from Alexandria.

Lattice parameters (Å, degrees): 6.2409 6.2409 11.8308 95.03 95.03 119.99
With the nearest neighbours (Å) after each atom.
Atoms (fractional coordinates):
Pr 0.1665 0.8335 0.0000  6 Ho 3.57-3.58, 3 Pr 3.60-3.61, 3 Dy 3.60-3.61
Pr 0.8335 0.1665 0.0000  6 Ho 3.57-3.58, 3 Pr 3.60-3.61, 3 Dy 3.60-3.61
Nd 0.0000 0.0000 0.5000  6 Ho 3.58, 6 Nd 3.60
Nd 0.3332 0.6668 0.5000  6 Ho 3.58-3.59, 6 Nd 3.60-3.61
Nd 0.6668 0.3332 0.5000  6 Ho 3.58-3.59, 6 Nd 3.60-3.61
Dy 0.5000 0.5000 0.0000  6 Ho 3.57, 6 Pr 3.60-3.61
Ho 0.0839 0.4167 0.7505  1 Dy 3.57, 2 Pr 3.57-3.58, 3 Nd 3.58-3.59, 6 Ho 3.60-3.61
Ho 0.2509 0.2509 0.2497  1 Dy 3.57, 2 Pr 3.58, 3 Nd 3.58, 6 Ho 3.60-3.61
Ho 0.4167 0.0839 0.7505  1 Dy 3.57, 2 Pr 3.57-3.58, 3 Nd 3.58-3.59, 6 Ho 3.60-3.61
Ho 0.5833 0.9161 0.2495  1 Dy 3.57, 2 Pr 3.57-3.58, 3 Nd 3.58-3.59, 6 Ho 3.60-3.61
Ho 0.7491 0.7491 0.7503  1 Dy 3.57, 2 Pr 3.58, 3 Nd 3.58, 6 Ho 3.60-3.61
Ho 0.9161 0.5833 0.2495  1 Dy 3.57, 2 Pr 3.57-3.58, 3 Nd 3.58-3.59, 6 Ho 3.60-3.61

Space group: No. 12
Calculated total energy (eV per cell): -55.76

***

[5]
The following is a PBE calculation of a geometry-optimized Pr2Nd4Dy2Ho structure, from Alexandria.

Lattice parameters (Å, degrees): 9.6872 9.6872 9.7625 115.12 115.12 21.89
With the nearest neighbours (Å) after each atom.
Atoms (fractional coordinates):
Pr 0.1653 0.1653 0.4977  3 Nd 3.59-3.63, 3 Dy 3.61-3.65, 2 Ho 3.65, 4 Pr 3.68-3.69
Pr 0.8347 0.8347 0.5023  3 Nd 3.59-3.63, 3 Dy 3.61-3.65, 2 Ho 3.65, 4 Pr 3.68-3.69
Nd 0.0182 0.0182 0.8337  1 Pr 3.59, 5 Nd 3.60-3.68, 4 Dy 3.62-3.65, 2 Ho 3.63
Nd 0.3142 0.3142 0.1669  6 Nd 3.62-3.68, 1 Ho 3.62, 2 Pr 3.63, 3 Dy 3.63-3.66
Nd 0.6858 0.6858 0.8331  6 Nd 3.62-3.68, 1 Ho 3.62, 2 Pr 3.63, 3 Dy 3.63-3.66
Nd 0.9818 0.9818 0.1663  1 Pr 3.59, 5 Nd 3.60-3.68, 4 Dy 3.62-3.65, 2 Ho 3.63
Dy 0.3522 0.3522 0.8334  3 Pr 3.61-3.65, 7 Nd 3.62-3.66, 2 Dy 3.68
Dy 0.6478 0.6478 0.1666  3 Pr 3.61-3.65, 7 Nd 3.62-3.66, 2 Dy 3.68
Ho 0.5000 0.5000 0.5000  6 Nd 3.62-3.63, 4 Pr 3.65, 2 Ho 3.68

Space group: No. 12
Calculated total energy (eV per cell): -42.33

***

[6]
The following is a PBE calculation of a geometry-optimized Pr6NdDy2Ho3 structure, from Alexandria.

Lattice parameters (Å, degrees): 6.3179 6.3179 11.9334 95.05 95.05 120.01
With the nearest neighbours (Å) after each atom.
Atoms (fractional coordinates):
Pr 0.0844 0.4184 0.7519  3 Ho 3.59-3.60, 2 Dy 3.63, 1 Nd 3.64, 6 Pr 3.64-3.66
Pr 0.2494 0.2494 0.2481  3 Ho 3.60, 1 Nd 3.63, 2 Dy 3.63, 6 Pr 3.64-3.65
Pr 0.4184 0.0844 0.7519  3 Ho 3.59-3.60, 2 Dy 3.63, 1 Nd 3.64, 6 Pr 3.64-3.66
Pr 0.5816 0.9156 0.2481  3 Ho 3.59-3.60, 2 Dy 3.63, 1 Nd 3.64, 6 Pr 3.64-3.66
Pr 0.7506 0.7506 0.7519  3 Ho 3.60, 1 Nd 3.63, 2 Dy 3.63, 6 Pr 3.64-3.65
Pr 0.9156 0.5816 0.2481  3 Ho 3.59-3.60, 2 Dy 3.63, 1 Nd 3.64, 6 Pr 3.64-3.66
Nd 0.0000 0.0000 0.5000  6 Pr 3.63-3.64, 6 Dy 3.65
Dy 0.3334 0.6666 0.5000  6 Pr 3.63, 3 Dy 3.65, 3 Nd 3.65
Dy 0.6666 0.3334 0.5000  6 Pr 3.63, 3 Dy 3.65, 3 Nd 3.65
Ho 0.1668 0.8332 0.0000  6 Pr 3.59-3.60, 6 Ho 3.65
Ho 0.5000 0.5000 0.0000  6 Pr 3.60, 6 Ho 3.65
Ho 0.8332 0.1668 0.0000  6 Pr 3.59-3.60, 6 Ho 3.65

Space group: No. 12
Calculated total energy (eV per cell): -56.23

***

[7]
The following is a PBE calculation of a geometry-optimized Pr2Nd3Dy6Ho structure, from Alexandria.

Lattice parameters (Å, degrees): 6.2507 6.2507 11.8814 95.02 95.02 119.99
With the nearest neighbours (Å) after each atom.
Atoms (fractional coordinates):
Pr 0.1664 0.8336 0.0000  6 Dy 3.58-3.59, 3 Pr 3.60-3.61, 3 Ho 3.61
Pr 0.8336 0.1664 0.0000  6 Dy 3.58-3.59, 3 Pr 3.60-3.61, 3 Ho 3.61
Nd 0.0000 0.0000 0.5000  6 Dy 3.60, 6 Nd 3.61
Nd 0.3331 0.6669 0.5000  6 Dy 3.59-3.60, 6 Nd 3.61
Nd 0.6669 0.3331 0.5000  6 Dy 3.59-3.60, 6 Nd 3.61
Dy 0.0841 0.4167 0.7507  1 Ho 3.58, 2 Pr 3.58-3.59, 3 Nd 3.60, 6 Dy 3.60-3.61
Dy 0.2510 0.2510 0.2498  1 Ho 3.58, 2 Pr 3.59, 3 Nd 3.59-3.60, 6 Dy 3.60-3.61
Dy 0.4167 0.0841 0.7507  1 Ho 3.58, 2 Pr 3.58-3.59, 3 Nd 3.60, 6 Dy 3.60-3.61
Dy 0.5833 0.9159 0.2493  1 Ho 3.58, 2 Pr 3.58-3.59, 3 Nd 3.60, 6 Dy 3.60-3.61
Dy 0.7490 0.7490 0.7502  1 Ho 3.58, 2 Pr 3.59, 3 Nd 3.59-3.60, 6 Dy 3.60-3.61
Dy 0.9159 0.5833 0.2493  1 Ho 3.58, 2 Pr 3.58-3.59, 3 Nd 3.60, 6 Dy 3.60-3.61
Ho 0.5000 0.5000 0.0000  6 Dy 3.58, 6 Pr 3.61

Space group: No. 12
Calculated total energy (eV per cell): -55.89

***

[8]
The following is a PBE calculation of a geometry-optimized Pr6NdDy3Ho2 structure, from Alexandria.

Lattice parameters (Å, degrees): 6.3202 6.3202 11.9412 95.05 95.05 120.00
With the nearest neighbours (Å) after each atom.
Atoms (fractional coordinates):
Pr 0.0817 0.4158 0.2489  3 Dy 3.60-3.61, 2 Ho 3.62-3.63, 1 Nd 3.63, 6 Pr 3.64-3.66
Pr 0.2502 0.2502 0.7510  3 Dy 3.60-3.61, 2 Ho 3.63, 1 Nd 3.63, 6 Pr 3.64-3.66
Pr 0.4158 0.0817 0.2489  3 Dy 3.60-3.61, 2 Ho 3.62-3.63, 1 Nd 3.63, 6 Pr 3.64-3.66
Pr 0.5842 0.9183 0.7511  3 Dy 3.60-3.61, 2 Ho 3.62-3.63, 1 Nd 3.63, 6 Pr 3.64-3.66
Pr 0.7498 0.7498 0.2490  3 Dy 3.60-3.61, 2 Ho 3.63, 1 Nd 3.63, 6 Pr 3.64-3.66
Pr 0.9183 0.5842 0.7511  3 Dy 3.60-3.61, 2 Ho 3.62-3.63, 1 Nd 3.63, 6 Pr 3.64-3.66
Nd 0.5000 0.5000 0.5000  6 Pr 3.63, 6 Ho 3.65
Dy 0.0000 0.0000 0.0000  6 Pr 3.60-3.61, 6 Dy 3.65
Dy 0.3332 0.6668 0.0000  6 Pr 3.60-3.61, 6 Dy 3.65
Dy 0.6668 0.3332 0.0000  6 Pr 3.60-3.61, 6 Dy 3.65
Ho 0.1665 0.8335 0.5000  6 Pr 3.62-3.63, 3 Ho 3.65, 3 Nd 3.65
Ho 0.8335 0.1665 0.5000  6 Pr 3.62-3.63, 3 Ho 3.65, 3 Nd 3.65

Space group: No. 12
Calculated total energy (eV per cell): -56.26